Pm3Sm4TmS8 | GGA-PBE | relaxed

space group: R-3m (166)
total energy: -6.422 eV per atom

a b c (Å): 8.0038 7.9959 8.0031
angles (deg): 120.03 120.00 90.00
Element x y z (fractional)
Pm: 0.5000 0.5000 0.0000
Pm: 0.5000 0.5000 0.5000
Pm: 0.0000 0.5000 0.5000
Sm: 0.5000 0.0000 0.0000
Sm: 0.5000 0.0000 0.5000
Sm: 0.0000 0.0000 0.0000
Sm: 0.0000 0.0000 0.5000
Tm: 0.0000 0.5000 0.0000
S: 0.2438 0.7453 0.0016
S: 0.2438 0.7453 0.4875
S: 0.2491 0.2475 0.4983
S: 0.7578 0.7453 0.0016
S: 0.2422 0.2547 0.9984
S: 0.7509 0.7525 0.5017
S: 0.7562 0.2547 0.5125
S: 0.7562 0.2547 0.9984

=====

TmTlPd2 | GGA-PBE | relaxed

space group: P4/mmm (123)
E_form: -0.5787 eV per atom

a b c (Å): 3.7238 4.6285 4.6285
angles (deg): 90.00 90.00 90.00
Element x y z (fractional)
Tl: 0.5000 0.0000 0.0000
Tm: 0.5000 0.5000 0.5000
Pd: 0.0000 0.0000 0.5000
Pd: 0.0000 0.5000 0.0000

=====

KRuI2O | GGA-PBE | relaxed

space group: P4/mmm (123)
energy above the most stable polymorph in this dataset: 0.000 eV per atom

a b c (Å): 5.8266 5.8266 3.8057
angles (deg): 90.00 90.00 90.00
Element x y z (fractional)
I: 0.0000 0.5000 0.0000
I: 0.5000 0.0000 0.0000
Ru: 0.0000 0.0000 0.0000
K: 0.5000 0.5000 0.5000
O: 0.0000 0.0000 0.5000

=====

Pr5Tm2Tl4 | GGA-PBE | relaxed

space group: C2/m (12)
E_form: -0.0380 eV per atom

a b c (Å): 3.5291 8.2031 12.4596
angles (deg): 87.10 98.14 90.00
Element x y z (fractional)
Pr: 0.1411 0.8808 0.2821
Pr: 0.8589 0.1192 0.7179
Pr: 0.2330 0.2214 0.4659
Pr: 0.5000 0.0000 0.0000
Pr: 0.7670 0.7786 0.5341
Tm: 0.9109 0.7165 0.8217
Tm: 0.0891 0.2835 0.1783
Tl: 0.6620 0.5300 0.3241
Tl: 0.0381 0.6469 0.0763
Tl: 0.3380 0.4700 0.6759
Tl: 0.9619 0.3531 0.9237

=====

CrOs2Ru | GGA-PBE | relaxed

space group: Cm (8)
E_form: 0.1081 eV per atom
energy above the most stable polymorph in this dataset: 0.042 eV per atom

a b c (Å): 4.6542 4.6542 4.6389
angles (deg): 80.24 80.24 33.65
Element x y z (fractional)
Cr: 0.2509 0.2509 0.2533
Os: 0.9981 0.9981 0.0013
Os: 0.7494 0.7494 0.7539
Ru: 0.5017 0.5017 0.4915

=====

Tc2AuBr | GGA-PBE | relaxed

space group: C2/m (12)
energy above the most stable polymorph in this dataset: 0.517 eV per atom

a b c (Å): 4.3584 4.3584 5.6020
angles (deg): 80.22 80.22 39.86
Element x y z (fractional)
Au: 0.7500 0.7500 0.7500
Tc: 0.9997 0.9997 0.0357
Tc: 0.5003 0.5003 0.4643
Br: 0.2500 0.2500 0.2500

=====

MgMnCdCl6 | GGA-PBE | relaxed

space group: P4_2nm (102)
total energy: -3.832 eV per atom

a b c (Å): 6.1430 6.1430 11.4431
angles (deg): 90.00 90.00 90.00
Element x y z (fractional)
Mg: 0.5000 0.5000 0.8337
Mg: 0.0000 0.0000 0.3337
Mn: 0.5000 0.5000 0.5000
Mn: 0.0000 0.0000 0.0000
Cd: 0.5000 0.5000 0.1663
Cd: 0.0000 0.0000 0.6663
Cl: 0.1985 0.8015 0.4926
Cl: 0.8015 0.1985 0.4926
Cl: 0.3015 0.3015 0.9926
Cl: 0.6985 0.6985 0.9926
Cl: 0.1874 0.8126 0.1673
Cl: 0.8126 0.1874 0.1673
Cl: 0.3126 0.3126 0.6673
Cl: 0.6874 0.6874 0.6673
Cl: 0.8003 0.1997 0.8401
Cl: 0.1997 0.8003 0.8401
Cl: 0.6997 0.6997 0.3401
Cl: 0.3003 0.3003 0.3401

=====

Number 1: magnetic moment 0.000 μB per formula unit, calculated volume 22.6 Å³ per atom. Number 2: magnetic moment 0.000 μB per formula unit, calculated volume 19.9 Å³ per atom. Number 3: magnetic moment 0.466 μB per formula unit, calculated volume 25.8 Å³ per atom. Number 4: magnetic moment 0.001 μB per formula unit, calculated volume 32.4 Å³ per atom. Number 5: magnetic moment 0.037 μB per formula unit, calculated volume 13.7 Å³ per atom. Number 6: magnetic moment 0.000 μB per formula unit, calculated volume 16.8 Å³ per atom. Number 7: magnetic moment 5.000 μB per formula unit, calculated volume 24.0 Å³ per atom.